(1)
{
  "formula": "Y7Tm12Zr",
  "functional": "PBE-GGA",
  "state": "relaxed",
  "lattice_angstrom": [[8.408, 1.039, 1.559], [-1.340, 8.365, 1.559], [-1.340, -1.783, 8.320]],
  "species": ["Zr", "Tm", "Tm", "Tm", "Tm", "Tm", "Tm", "Tm", "Tm", "Tm", "Tm", "Tm", "Tm", "Y", "Y", "Y", "Y", "Y", "Y", "Y"],
  "fractional_positions": [[0.000, 0.000, 0.000], [0.769, 0.233, 0.630], [0.370, 0.231, 0.767], [0.767, 0.370, 0.231], [0.646, 0.549, 0.878], [0.878, 0.646, 0.549], [0.233, 0.630, 0.769], [0.549, 0.878, 0.646], [0.451, 0.122, 0.354], [0.231, 0.767, 0.370], [0.630, 0.769, 0.233], [0.122, 0.354, 0.451], [0.354, 0.451, 0.122], [0.980, 0.666, 0.079], [0.020, 0.334, 0.921], [0.921, 0.020, 0.334], [0.500, 0.500, 0.500], [0.666, 0.079, 0.980], [0.079, 0.980, 0.666], [0.334, 0.921, 0.020]],
  "total_energy_ev_per_atom": -5.098,
  "n_ef_per_ev_cell": 42.25,
  "magmom_total_mub_per_fu": 2.50,
  "formation_enthalpy_0k_ev_per_fu": 5.505
}

***

(2)
{
  "formula": "YTm14Zr",
  "functional": "PBE-GGA",
  "state": "relaxed",
  "lattice_angstrom": [[-1.539, -5.552, -3.887], [6.736, -1.689, -0.257], [-1.040, -5.380, 8.096]],
  "species": ["Tm", "Tm", "Tm", "Tm", "Tm", "Tm", "Tm", "Tm", "Tm", "Tm", "Tm", "Tm", "Tm", "Tm", "Y", "Zr"],
  "fractional_positions": [[0.370, 0.120, 0.254], [0.880, 0.630, 0.746], [0.880, 0.120, 0.254], [0.880, 0.630, 0.254], [0.125, 0.375, 0.000], [0.880, 0.120, 0.746], [0.370, 0.630, 0.254], [0.625, 0.875, 0.000], [0.625, 0.375, 0.000], [0.125, 0.875, 0.000], [0.370, 0.630, 0.746], [0.625, 0.875, 0.500], [0.370, 0.120, 0.746], [0.125, 0.375, 0.500], [0.625, 0.375, 0.500], [0.125, 0.875, 0.500]],
  "total_energy_ev_per_atom": -4.812,
  "n_ef_per_ev_cell": 19.75,
  "magmom_total_mub_per_fu": 0.00,
  "formation_enthalpy_0k_ev_per_fu": 0.614
}

***

(3)
{
  "formula": "Y4Tm8Zr",
  "functional": "PBE-GGA",
  "state": "relaxed",
  "lattice_angstrom": [[-6.588, -3.501, -1.553], [-1.854, 0.278, 7.387], [-3.302, 6.777, -1.116]],
  "species": ["Zr", "Tm", "Tm", "Tm", "Tm", "Tm", "Tm", "Tm", "Tm", "Y", "Y", "Y", "Y"],
  "fractional_positions": [[0.500, 0.500, 0.500], [0.245, 0.753, 0.245], [0.754, 0.754, 0.754], [0.245, 0.245, 0.753], [0.246, 0.246, 0.246], [0.753, 0.245, 0.245], [0.755, 0.755, 0.247], [0.247, 0.755, 0.755], [0.755, 0.247, 0.755], [0.500, 0.000, 0.500], [0.500, 0.500, 0.000], [0.000, 0.500, 0.500], [0.000, 0.000, 0.000]],
  "total_energy_ev_per_atom": -4.838,
  "n_ef_per_ev_cell": 22.17,
  "magmom_total_mub_per_fu": 2.17,
  "formation_enthalpy_0k_ev_per_fu": 7.287
}

***

(4)
{
  "formula": "Y3TmZr",
  "functional": "PBE-GGA",
  "state": "relaxed",
  "lattice_angstrom": [[-3.286, -0.291, 1.056], [2.664, -8.817, 0.164], [2.492, 3.715, 8.769]],
  "species": ["Tm", "Tm", "Y", "Y", "Y", "Y", "Y", "Y", "Zr", "Zr"],
  "fractional_positions": [[0.627, 0.286, 0.273], [0.417, 0.868, 0.149], [0.022, 0.080, 0.457], [0.628, 0.290, 0.754], [0.225, 0.484, 0.053], [0.022, 0.074, 0.965], [0.416, 0.864, 0.668], [0.819, 0.670, 0.369], [0.817, 0.668, 0.849], [0.227, 0.486, 0.572]],
  "total_energy_ev_per_atom": -6.409,
  "n_ef_per_ev_cell": 14.19,
  "magmom_total_mub_per_fu": 0.00,
  "formation_enthalpy_0k_ev_per_fu": 0.365
}

***

(5)
{
  "formula": "Y3Tm4Zr",
  "functional": "PBE-GGA",
  "state": "relaxed",
  "lattice_angstrom": [[3.327, 0.000, 0.000], [0.000, 8.613, 1.278], [0.000, -2.276, 8.405]],
  "species": ["Y", "Y", "Y", "Zr", "Tm", "Tm", "Tm", "Tm"],
  "fractional_positions": [[0.000, 0.000, 0.500], [0.500, 0.500, 0.500], [0.000, 0.500, 0.000], [0.500, 0.000, 0.000], [0.000, 0.227, 0.227], [0.500, 0.236, 0.764], [0.500, 0.764, 0.236], [0.000, 0.773, 0.773]],
  "polymorph_energy_ev_per_atom": 0.260,
  "total_energy_ev_per_atom": -5.261,
  "n_ef_per_ev_cell": 16.17,
  "magmom_total_mub_per_fu": 2.32,
  "formation_enthalpy_0k_ev_per_fu": 3.740
}

***

(6)
{
  "formula": "YTm6Zr",
  "functional": "PBE-GGA",
  "state": "relaxed",
  "lattice_angstrom": [[6.334, -0.444, 2.239], [-0.334, 6.348, 0.555], [1.047, 0.452, 6.424]],
  "species": ["Tm", "Tm", "Tm", "Tm", "Tm", "Tm", "Y", "Zr"],
  "fractional_positions": [[0.434, 0.245, 0.001], [0.580, 0.751, 0.505], [0.911, 0.221, 0.533], [0.566, 0.755, 0.999], [0.420, 0.249, 0.495], [0.089, 0.779, 0.467], [0.000, 0.500, 0.000], [0.000, 0.000, 0.000]],
  "total_energy_ev_per_atom": -4.987,
  "n_ef_per_ev_cell": 15.37,
  "magmom_total_mub_per_fu": 0.00,
  "formation_enthalpy_0k_ev_per_fu": 1.943
}

***

Copy entry 1 word for word.
{
  "formula": "Y7Tm12Zr",
  "functional": "PBE-GGA",
  "state": "relaxed",
  "lattice_angstrom": [[8.408, 1.039, 1.559], [-1.340, 8.365, 1.559], [-1.340, -1.783, 8.320]],
  "species": ["Zr", "Tm", "Tm", "Tm", "Tm", "Tm", "Tm", "Tm", "Tm", "Tm", "Tm", "Tm", "Tm", "Y", "Y", "Y", "Y", "Y", "Y", "Y"],
  "fractional_positions": [[0.000, 0.000, 0.000], [0.769, 0.233, 0.630], [0.370, 0.231, 0.767], [0.767, 0.370, 0.231], [0.646, 0.549, 0.878], [0.878, 0.646, 0.549], [0.233, 0.630, 0.769], [0.549, 0.878, 0.646], [0.451, 0.122, 0.354], [0.231, 0.767, 0.370], [0.630, 0.769, 0.233], [0.122, 0.354, 0.451], [0.354, 0.451, 0.122], [0.980, 0.666, 0.079], [0.020, 0.334, 0.921], [0.921, 0.020, 0.334], [0.500, 0.500, 0.500], [0.666, 0.079, 0.980], [0.079, 0.980, 0.666], [0.334, 0.921, 0.020]],
  "total_energy_ev_per_atom": -5.098,
  "n_ef_per_ev_cell": 42.25,
  "magmom_total_mub_per_fu": 2.50,
  "formation_enthalpy_0k_ev_per_fu": 5.505
}

***

What is the formula in the sixth record? YTm6Zr